one:
Below is an optimized crystal structure of CdCo3F, with properties calculated at the GGA+U level.

abc: 4.2187 4.2187 4.2187
angles: 90.00 90.00 90.00
Closest atoms and distances in Å follow each position.
Space group Pm-3m (No. 221)
One atom of each set of equivalent atoms:
Cd 0.0000 0.0000 0.0000 [1 per cell]  12 Co 2.98
Co 0.0000 0.5000 0.5000 [3 per cell]  2 F 2.11
F 0.5000 0.5000 0.5000 [1 per cell]  6 Co 2.11

Computed properties:
Total magnetic moment (μB/f.u.): 5.86

two:
Below is an optimized crystal structure of CdCo3F, with properties calculated at the GGA+U level.

abc: 4.9697 4.9697 4.9697
angles: 90.00 90.00 90.00
Closest atoms and distances in Å follow each position.
Space group Pm-3m (No. 221)
One atom of each set of equivalent atoms:
Cd 0.0000 0.0000 0.0000 [1 per cell]  6 Co 2.48
Co 0.0000 0.0000 0.5000 [3 per cell]  2 Cd 2.48
F 0.5000 0.5000 0.5000 [1 per cell]  12 Co 3.51

Computed properties:
Total magnetic moment (μB/f.u.): 7.73

Energies in meV per atom, measured from the most stable structure: one 0; two 1259.

one:
Below is an optimized crystal structure of Cd2CoF, with properties calculated at the GGA+U level.

abc: 7.0364 7.0364 5.8210
angles: 90.00 90.00 90.00
Closest atoms and distances in Å follow each position.
Space group I-42d (No. 122)
One atom of each set of equivalent atoms:
Cd 0.2184 0.2500 0.1250 [8 per cell]  2 F 2.45
Co 0.0000 0.0000 0.5000 [4 per cell]  4 Cd 2.75, 2 F 2.91
F 0.0000 0.0000 0.0000 [4 per cell]  4 Cd 2.45

Computed properties:
Total magnetic moment (μB/f.u.): 2.04

two:
Below is an optimized crystal structure of Cd2CoF, with properties calculated at the GGA+U level.

abc: 6.5595 6.5595 6.5595
angles: 90.00 90.00 90.00
Closest atoms and distances in Å follow each position.
Space group Fm-3m (No. 225)
One atom of each set of equivalent atoms:
Cd 0.2500 0.2500 0.2500 [8 per cell]  4 F 2.84, 4 Co 2.84
Co 0.0000 0.0000 0.0000 [4 per cell]  8 Cd 2.84
F 0.0000 0.0000 0.5000 [4 per cell]  8 Cd 2.84

Computed properties:
Total magnetic moment (μB/f.u.): 2.18

Energies in meV per atom, measured from the most stable structure: one 0; two 114.

one:
Below is an optimized crystal structure of Cd2Co2F, with properties calculated at the GGA+U level.

abc: 6.8657 6.8657 3.7797
angles: 90.00 90.00 90.00
Closest atoms and distances in Å follow each position.
Space group P4/mbm (No. 127)
One atom of each set of equivalent atoms:
Cd 0.1699 0.3301 0.0000 [4 per cell]  2 F 2.55, 6 Co 2.73-2.80
Co 0.1277 0.6277 0.5000 [4 per cell]  1 Co 2.48, 2 Cd 2.73
F 0.0000 0.0000 0.0000 [2 per cell]  4 Cd 2.55

Computed properties:
Total magnetic moment (μB/f.u.): 3.66

two:
Below is an optimized crystal structure of Cd2Co2F, with properties calculated at the GGA+U level.

abc: 3.3293 3.3293 15.1221
angles: 90.00 90.00 90.00
Closest atoms and distances in Å follow each position.
Space group I4/mmm (No. 139)
One atom of each set of equivalent atoms:
Cd 0.0000 0.0000 0.1014 [4 per cell]  4 Co 2.80, 4 F 2.81, 1 Cd 3.07
Co 0.0000 0.5000 0.2500 [4 per cell]  4 Co 2.35
F 0.0000 0.0000 0.5000 [2 per cell]  8 Cd 2.81

Computed properties:
Total magnetic moment (μB/f.u.): 3.89

Energies in meV per atom, measured from the most stable structure: one 107; two 0.

one:
Below is an optimized crystal structure of Cd3CoF, with properties calculated at the GGA+U level.

abc: 5.0391 5.0391 5.0391
angles: 90.00 90.00 90.00
Closest atoms and distances in Å follow each position.
Space group Pm-3m (No. 221)
One atom of each set of equivalent atoms:
Cd 0.0000 0.0000 0.5000 [3 per cell]  2 Co 2.52
Co 0.0000 0.0000 0.0000 [1 per cell]  6 Cd 2.52
F 0.5000 0.5000 0.5000 [1 per cell]  12 Cd 3.56

Computed properties:
Total magnetic moment (μB/f.u.): 1.81

two:
Below is an optimized crystal structure of Cd3CoF, with properties calculated at the GGA+U level.

abc: 4.7088 4.7088 4.7088
angles: 90.00 90.00 90.00
Closest atoms and distances in Å follow each position.
Space group Pm-3m (No. 221)
One atom of each set of equivalent atoms:
Cd 0.0000 0.0000 0.5000 [3 per cell]  2 F 2.35
Co 0.5000 0.5000 0.5000 [1 per cell]  12 Cd 3.33
F 0.0000 0.0000 0.0000 [1 per cell]  6 Cd 2.35

Computed properties:
Total magnetic moment (μB/f.u.): 2.06

Energies in meV per atom, measured from the most stable structure: one 191; two 0.

one:
Below is an optimized crystal structure of CdCoNF2, with properties calculated at the GGA+U level.

abc: 4.2861 4.2861 4.4349
angles: 90.00 90.00 90.00
Closest atoms and distances in Å follow each position.
Space group P4/mmm (No. 123)
One atom of each set of equivalent atoms:
Cd 0.0000 0.0000 0.0000 [1 per cell]  4 F 2.14, 2 N 2.22
Co 0.5000 0.5000 0.5000 [1 per cell]  4 N 3.03, 8 F 3.08
N 0.0000 0.0000 0.5000 [1 per cell]  2 Cd 2.22
F 0.0000 0.5000 0.0000 [2 per cell]  2 Cd 2.14

Computed properties:
Total magnetic moment (μB/f.u.): 1.78

two:
Below is an optimized crystal structure of CdCoNF2, with properties calculated at the GGA+U level.

abc: 4.0084 4.0084 3.8187
angles: 90.00 90.00 90.00
Closest atoms and distances in Å follow each position.
Space group P4/mmm (No. 123)
One atom of each set of equivalent atoms:
Cd 0.0000 0.0000 0.0000 [1 per cell]  8 F 2.77, 4 N 2.83
Co 0.5000 0.5000 0.5000 [1 per cell]  2 N 1.91, 4 F 2.00
N 0.5000 0.5000 0.0000 [1 per cell]  2 Co 1.91
F 0.0000 0.5000 0.5000 [2 per cell]  2 Co 2.00

Computed properties:
Total magnetic moment (μB/f.u.): 3.28

Energies in meV per atom, measured from the most stable structure: one 717; two 0.